Record 1
Material: LiYTiAl
Method: DFT, GGA-PBE
State: optimized geometry

a b c (Å): 6.8329 6.8329 6.8329
angles (deg): 90.00 90.00 90.00
Last column: nearest neighbours and their distance in Å.
Fractional positions:
1 Li 0.0000 0.0000 0.0000  4 Ti 2.96, 4 Y 2.96
2 Li 0.0000 0.5000 0.5000  4 Ti 2.96, 4 Y 2.96
3 Li 0.5000 0.0000 0.5000  4 Ti 2.96, 4 Y 2.96
4 Li 0.5000 0.5000 0.0000  4 Ti 2.96, 4 Y 2.96
5 Y 0.2500 0.2500 0.7500  4 Li 2.96, 4 Al 2.96
6 Y 0.2500 0.7500 0.2500  4 Li 2.96, 4 Al 2.96
7 Y 0.7500 0.2500 0.2500  4 Li 2.96, 4 Al 2.96
8 Y 0.7500 0.7500 0.7500  4 Li 2.96, 4 Al 2.96
9 Ti 0.2500 0.2500 0.2500  4 Al 2.96, 4 Li 2.96
10 Ti 0.2500 0.7500 0.7500  4 Li 2.96, 4 Al 2.96
11 Ti 0.7500 0.2500 0.7500  4 Li 2.96, 4 Al 2.96
12 Ti 0.7500 0.7500 0.2500  4 Li 2.96, 4 Al 2.96
13 Al 0.0000 0.0000 0.5000  4 Y 2.96, 4 Ti 2.96
14 Al 0.0000 0.5000 0.0000  4 Y 2.96, 4 Ti 2.96
15 Al 0.5000 0.0000 0.0000  4 Y 2.96, 4 Ti 2.96
16 Al 0.5000 0.5000 0.5000  4 Y 2.96, 4 Ti 2.96

Results
SG: F-43m (216)
crystal system: cubic
total energy: -0.371 Ry/atom
magnetic moment: 0.00 μB/f.u.
energy of formation from the pure elements: -49.4 meV per atom

***

Record 2
Material: NaTlSn
Method: DFT, GGA-PBE
State: optimized geometry

a b c (Å): 5.3536 5.3536 6.8309
angles (deg): 90.00 90.00 120.00
Last column: nearest neighbours and their distance in Å.
Fractional positions:
1 Na 0.0000 0.0000 0.0000  2 Na 3.38-3.45, 6 Tl 3.41-3.68, 6 Sn 3.44-3.62
2 Na 0.0000 0.0000 0.4945  2 Na 3.38-3.45, 6 Tl 3.42-3.68, 6 Sn 3.43-3.62
3 Tl 0.3333 0.6667 0.7077  3 Tl 3.14, 2 Sn 3.33-3.50, 3 Na 3.42
4 Tl 0.6667 0.3333 0.7882  3 Tl 3.14, 2 Sn 3.33-3.50, 3 Na 3.41
5 Sn 0.3333 0.6667 0.2200  3 Sn 3.11, 1 Tl 3.33, 3 Na 3.44
6 Sn 0.6667 0.3333 0.2758  3 Sn 3.11, 1 Tl 3.33, 3 Na 3.43

Results
SG: P3m1 (156)
crystal system: trigonal
total energy: -0.196 Ry/atom
magnetic moment: 0.00 μB/f.u.
energy of formation from the pure elements: -106.8 meV per atom

***

Record 3
Material: Ho6AgHg5
Method: DFT, GGA-PBE
State: optimized geometry

a b c (Å): 8.2444 8.2444 7.4114
angles (deg): 90.00 90.00 143.22
Last column: nearest neighbours and their distance in Å.
Fractional positions:
1 Ho 0.0000 0.0000 0.2478  6 Hg 3.17-3.21, 2 Ag 3.18
2 Ho 0.0000 0.0000 0.7522  6 Hg 3.17-3.21, 2 Ag 3.18
3 Ho 0.3344 0.6656 0.2481  1 Ag 3.18, 7 Hg 3.19-3.23
4 Ho 0.3344 0.6656 0.7519  1 Ag 3.18, 7 Hg 3.19-3.23
5 Ho 0.6656 0.3344 0.2481  1 Ag 3.18, 7 Hg 3.19-3.23
6 Ho 0.6656 0.3344 0.7519  1 Ag 3.18, 7 Hg 3.19-3.23
7 Ag 0.5000 0.5000 0.0000  8 Ho 3.18
8 Hg 0.1650 0.8350 0.0000  8 Ho 3.17-3.23
9 Hg 0.1668 0.8332 0.5000  8 Ho 3.20-3.22
10 Hg 0.5000 0.5000 0.5000  8 Ho 3.19-3.20
11 Hg 0.8332 0.1668 0.5000  8 Ho 3.20-3.22
12 Hg 0.8350 0.1650 0.0000  8 Ho 3.17-3.23

Results
SG: Cmmm (65)
crystal system: orthorhombic
total energy: -0.228 Ry/atom
magnetic moment: 0.00 μB/f.u.
energy of formation from the pure elements: -455.4 meV per atom

***

Record 4
Material: TbPuIr
Method: DFT, GGA-PBE
State: optimized geometry

a b c (Å): 4.8085 4.8085 3.2837
angles (deg): 90.00 90.00 120.00
Last column: nearest neighbours and their distance in Å.
Fractional positions:
1 Tb 0.0000 0.0000 0.0000  3 Ir 3.01, 3 Pu 3.07, 2 Tb 3.28
2 Pu 0.6667 0.3333 0.3963  3 Ir 2.89, 3 Tb 3.07
3 Ir 0.3333 0.6667 0.6430  3 Pu 2.89, 3 Tb 3.01

Results
SG: P3m1 (156)
crystal system: trigonal
total energy: -0.699 Ry/atom
magnetic moment: 5.64 μB/f.u.
energy of formation from the pure elements: -236.1 meV per atom

***

Record 5
Material: InP2Ir2
Method: DFT, GGA-PBE
State: optimized geometry

a b c (Å): 4.0430 4.0430 10.8500
angles (deg): 90.00 90.00 90.00
Last column: nearest neighbours and their distance in Å.
Fractional positions:
1 In 0.0000 0.0000 0.0000  8 Ir 3.24, 8 P 3.38
2 In 0.5000 0.5000 0.5000  8 Ir 3.24, 8 P 3.38
3 P 0.0000 0.5000 0.2500  4 Ir 2.35
4 P 0.0000 0.5000 0.7500  4 Ir 2.35
5 P 0.5000 0.0000 0.2500  4 Ir 2.35
6 P 0.5000 0.0000 0.7500  4 Ir 2.35
7 Ir 0.0000 0.0000 0.3597  4 P 2.35
8 Ir 0.0000 0.0000 0.6403  4 P 2.35
9 Ir 0.5000 0.5000 0.1403  4 P 2.35
10 Ir 0.5000 0.5000 0.8597  4 P 2.35

Results
SG: I4/mmm (139)
crystal system: tetragonal
total energy: -0.466 Ry/atom
magnetic moment: 0.00 μB/f.u.
energy of formation from the pure elements: -85.5 meV per atom

***

Record 6
Material: Ta2TcOs
Method: DFT, GGA-PBE
State: optimized geometry

a b c (Å): 3.1721 4.6182 8.9245
angles (deg): 90.00 90.00 90.00
Last column: nearest neighbours and their distance in Å.
Fractional positions:
1 Ta 0.0000 0.0000 0.0000  2 Os 2.69, 6 Ta 2.80-2.87
2 Ta 0.0000 0.5000 0.2676  2 Tc 2.69, 6 Ta 2.80-2.87
3 Ta 0.5000 0.0000 0.2676  2 Tc 2.69, 6 Ta 2.80-2.87
4 Ta 0.5000 0.5000 0.0000  2 Os 2.69, 6 Ta 2.80-2.87
5 Tc 0.0000 0.0000 0.5112  2 Ta 2.69, 2 Os 2.70, 4 Tc 2.80
6 Tc 0.5000 0.5000 0.5112  2 Ta 2.69, 2 Os 2.70, 4 Tc 2.80
7 Os 0.0000 0.5000 0.7566  2 Ta 2.69, 2 Tc 2.70, 4 Os 2.80
8 Os 0.5000 0.0000 0.7566  2 Ta 2.69, 2 Tc 2.70, 4 Os 2.80

Results
SG: Cmm2 (35)
crystal system: orthorhombic
total energy: -0.827 Ry/atom
magnetic moment: 0.00 μB/f.u.
energy of formation from the pure elements: 75.3 meV per atom

***

Record 7
Material: CdAsPd5
Method: DFT, GGA-PBE
State: optimized geometry

a b c (Å): 5.5560 5.5560 9.2574
angles (deg): 110.14 110.14 75.42
Last column: nearest neighbours and their distance in Å.
Fractional positions:
1 Cd 0.0705 0.9295 0.7500  7 Pd 2.72-2.99
2 Cd 0.9295 0.0705 0.2500  7 Pd 2.72-2.99
3 As 0.0000 0.5000 0.0000  6 Pd 2.47-2.64
4 As 0.5000 0.0000 0.5000  6 Pd 2.47-2.64
5 Pd 0.1372 0.4339 0.7609  1 As 2.47, 2 Pd 2.70-2.76, 1 Cd 2.72
6 Pd 0.2533 0.4750 0.5035  1 As 2.64, 7 Pd 2.70-2.91
7 Pd 0.3423 0.6577 0.2500  2 As 2.48, 2 Pd 2.76
8 Pd 0.4339 0.1372 0.2609  1 As 2.47, 2 Pd 2.70-2.76, 1 Cd 2.72
9 Pd 0.4750 0.2533 0.0035  1 As 2.64, 7 Pd 2.70-2.91
10 Pd 0.5250 0.7467 0.9965  1 As 2.64, 7 Pd 2.70-2.91
11 Pd 0.5661 0.8628 0.7391  1 As 2.47, 2 Pd 2.70-2.76, 1 Cd 2.72
12 Pd 0.6577 0.3423 0.7500  2 As 2.48, 2 Pd 2.76
13 Pd 0.7467 0.5250 0.4965  1 As 2.64, 7 Pd 2.70-2.91
14 Pd 0.8628 0.5661 0.2391  1 As 2.47, 2 Pd 2.70-2.76, 1 Cd 2.72

Results
SG: C2/c (15)
crystal system: monoclinic
total energy: -0.343 Ry/atom
magnetic moment: 0.00 μB/f.u.
energy of formation from the pure elements: -159.6 meV per atom

***

Record 8
Material: ErPuAgAu
Method: DFT, GGA-PBE
State: optimized geometry

a b c (Å): 7.2515 7.2515 7.2515
angles (deg): 90.00 90.00 90.00
Last column: nearest neighbours and their distance in Å.
Fractional positions:
1 Er 0.0000 0.0000 0.0000  4 Au 3.14, 4 Ag 3.14
2 Er 0.0000 0.5000 0.5000  4 Ag 3.14, 4 Au 3.14
3 Er 0.5000 0.0000 0.5000  4 Ag 3.14, 4 Au 3.14
4 Er 0.5000 0.5000 0.0000  4 Ag 3.14, 4 Au 3.14
5 Pu 0.0000 0.0000 0.5000  4 Au 3.14, 4 Ag 3.14
6 Pu 0.0000 0.5000 0.0000  4 Ag 3.14, 4 Au 3.14
7 Pu 0.5000 0.0000 0.0000  4 Ag 3.14, 4 Au 3.14
8 Pu 0.5000 0.5000 0.5000  4 Au 3.14, 4 Ag 3.14
9 Ag 0.2500 0.2500 0.7500  4 Er 3.14, 4 Pu 3.14
10 Ag 0.2500 0.7500 0.2500  4 Er 3.14, 4 Pu 3.14
11 Ag 0.7500 0.2500 0.2500  4 Er 3.14, 4 Pu 3.14
12 Ag 0.7500 0.7500 0.7500  4 Er 3.14, 4 Pu 3.14
13 Au 0.2500 0.2500 0.2500  4 Er 3.14, 4 Pu 3.14
14 Au 0.2500 0.7500 0.7500  4 Er 3.14, 4 Pu 3.14
15 Au 0.7500 0.2500 0.7500  4 Er 3.14, 4 Pu 3.14
16 Au 0.7500 0.7500 0.2500  4 Er 3.14, 4 Pu 3.14

Results
SG: F-43m (216)
crystal system: cubic
total energy: -0.485 Ry/atom
magnetic moment: 5.71 μB/f.u.
energy of formation from the pure elements: -338.0 meV per atom

***

Record 9
Material: La5InRh2
Method: DFT, GGA-PBE
State: optimized geometry

a b c (Å): 9.1436 9.1436 9.1436
angles (deg): 127.27 127.27 77.81
Last column: nearest neighbours and their distance in Å.
Fractional positions:
1 La 0.0000 0.0000 0.0000  4 Rh 3.14
2 La 0.0279 0.5279 0.8233  3 Rh 2.98-3.10
3 La 0.2046 0.0279 0.5000  3 Rh 2.98-3.10
4 La 0.2954 0.7954 0.8233  3 Rh 2.98-3.10
5 La 0.4721 0.2954 0.5000  3 Rh 2.98-3.10
6 La 0.5000 0.5000 0.0000  4 Rh 3.14
7 La 0.5279 0.7046 0.5000  3 Rh 2.98-3.10
8 La 0.7046 0.2046 0.1767  3 Rh 2.98-3.10
9 La 0.7954 0.9721 0.5000  3 Rh 2.98-3.10
10 La 0.9721 0.4721 0.1767  3 Rh 2.98-3.10
11 In 0.2500 0.2500 0.0000  10 La 3.47-3.56
12 In 0.7500 0.7500 0.0000  10 La 3.47-3.56
13 Rh 0.1388 0.3612 0.5000  8 La 2.98-3.14, 1 Rh 3.19
14 Rh 0.3612 0.8612 0.2223  8 La 2.98-3.14, 1 Rh 3.19
15 Rh 0.6388 0.1388 0.7777  8 La 2.98-3.14, 1 Rh 3.19
16 Rh 0.8612 0.6388 0.5000  8 La 2.98-3.14, 1 Rh 3.19

Results
SG: I4/mcm (140)
crystal system: tetragonal
total energy: -0.428 Ry/atom
magnetic moment: 0.00 μB/f.u.
energy of formation from the pure elements: -566.3 meV per atom

***

Record 10
Material: YScRe2
Method: DFT, GGA-PBE
State: optimized geometry

a b c (Å): 5.7837 9.2994 2.9046
angles (deg): 90.00 110.49 90.00
Last column: nearest neighbours and their distance in Å.
Fractional positions:
1 Y 0.0000 0.0000 0.0000  4 Re 2.85, 2 Sc 2.89, 2 Y 2.90
2 Y 0.5000 0.5000 0.0000  4 Re 2.85, 2 Sc 2.89, 2 Y 2.90
3 Sc 0.0000 0.5000 0.0000  4 Re 2.85, 2 Y 2.89, 2 Sc 2.90
4 Sc 0.5000 0.0000 0.0000  4 Re 2.85, 2 Y 2.89, 2 Sc 2.90
5 Re 0.2500 0.2500 0.5000  2 Sc 2.85, 2 Y 2.85, 4 Re 2.89-2.90
6 Re 0.2500 0.7500 0.5000  2 Sc 2.85, 2 Y 2.85, 4 Re 2.89-2.90
7 Re 0.7500 0.2500 0.5000  2 Sc 2.85, 2 Y 2.85, 4 Re 2.89-2.90
8 Re 0.7500 0.7500 0.5000  2 Y 2.85, 2 Sc 2.85, 4 Re 2.89-2.90

Results
SG: C2/m (12)
crystal system: monoclinic
total energy: -0.670 Ry/atom
magnetic moment: 0.00 μB/f.u.
energy of formation from the pure elements: 313.8 meV per atom

***

Record 11
Material: Cd2TcAg2
Method: DFT, GGA-PBE
State: optimized geometry

a b c (Å): 3.9148 3.9148 13.7189
angles (deg): 90.00 90.00 90.00
Last column: nearest neighbours and their distance in Å.
Fractional positions:
1 Cd 0.0000 0.5000 0.2500  4 Cd 2.77, 4 Ag 2.88
2 Cd 0.0000 0.5000 0.7500  4 Cd 2.77, 4 Ag 2.88
3 Cd 0.5000 0.0000 0.2500  4 Cd 2.77, 4 Ag 2.88
4 Cd 0.5000 0.0000 0.7500  4 Cd 2.77, 4 Ag 2.88
5 Tc 0.0000 0.0000 0.0000  8 Ag 3.06
6 Tc 0.5000 0.5000 0.5000  8 Ag 3.06
7 Ag 0.0000 0.0000 0.4041  1 Ag 2.63, 4 Cd 2.88
8 Ag 0.0000 0.0000 0.5959  1 Ag 2.63, 4 Cd 2.88
9 Ag 0.5000 0.5000 0.0959  1 Ag 2.63, 4 Cd 2.88
10 Ag 0.5000 0.5000 0.9041  1 Ag 2.63, 4 Cd 2.88

Results
SG: I4/mmm (139)
crystal system: tetragonal
total energy: -0.209 Ry/atom
magnetic moment: 3.38 μB/f.u.
energy of formation from the pure elements: 731.6 meV per atom

***

Record 12
Material: Sr2PrAg4
Method: DFT, GGA-PBE
State: optimized geometry

a b c (Å): 5.6513 5.6513 13.4892
angles (deg): 90.00 90.00 90.00
Last column: nearest neighbours and their distance in Å.
Fractional positions:
1 Sr 0.0000 0.0000 0.2185  4 Ag 3.19
2 Sr 0.0000 0.0000 0.7815  4 Ag 3.19
3 Sr 0.5000 0.5000 0.2815  4 Ag 3.19
4 Sr 0.5000 0.5000 0.7185  4 Ag 3.19
5 Pr 0.0000 0.0000 0.5000  8 Ag 3.18
6 Pr 0.5000 0.5000 0.0000  8 Ag 3.18
7 Ag 0.0000 0.5000 0.1080  1 Ag 2.91, 2 Pr 3.18, 2 Sr 3.19
8 Ag 0.0000 0.5000 0.3920  1 Ag 2.91, 2 Pr 3.18, 2 Sr 3.19
9 Ag 0.0000 0.5000 0.6080  1 Ag 2.91, 2 Pr 3.18, 2 Sr 3.19
10 Ag 0.0000 0.5000 0.8920  1 Ag 2.91, 2 Pr 3.18, 2 Sr 3.19
11 Ag 0.5000 0.0000 0.1080  1 Ag 2.91, 2 Pr 3.18, 2 Sr 3.19
12 Ag 0.5000 0.0000 0.3920  1 Ag 2.91, 2 Pr 3.18, 2 Sr 3.19
13 Ag 0.5000 0.0000 0.6080  1 Ag 2.91, 2 Pr 3.18, 2 Sr 3.19
14 Ag 0.5000 0.0000 0.8920  1 Ag 2.91, 2 Pr 3.18, 2 Sr 3.19

Results
SG: I4/mmm (139)
crystal system: tetragonal
total energy: -0.212 Ry/atom
magnetic moment: 0.00 μB/f.u.
energy of formation from the pure elements: -90.2 meV per atom

***

Record 13
Material: TlTe2As
Method: DFT, GGA-PBE
State: optimized geometry

a b c (Å): 3.6248 3.6248 9.8252
angles (deg): 90.00 90.00 90.00
Last column: nearest neighbours and their distance in Å.
Fractional positions:
1 Tl 0.0000 0.0000 0.0000  4 Te 3.39, 4 Tl 3.62, 4 As 3.79
2 Te 0.0000 0.0000 0.4032  4 As 2.82
3 Te 0.5000 0.5000 0.7737  4 Tl 3.39, 4 Te 3.62
4 As 0.5000 0.5000 0.2844  4 Te 2.82

Results
SG: P4mm (99)
crystal system: tetragonal
total energy: -0.238 Ry/atom
magnetic moment: 0.00 μB/f.u.